# 1
This record from Alexandria describes an optimized crystal structure of Sr2Cu2Ge. The functional is GGA-PBE.

a = 5.9741 Å, b = 5.9741 Å, c = 7.2194 Å
α = 90.00°, β = 90.00°, γ = 90.00°
Space group I4/mmm (No. 139)
Unique sites:
Sr 0.0000 0.5000 0.2500 x4
Cu 0.0000 0.0000 0.1623 x4
Ge 0.0000 0.0000 0.5000 x2



# 2
This record from Alexandria describes an optimized crystal structure of Sr2Cu3Ge5. The functional is GGA-PBE.

a = 10.4185 Å, b = 12.2496 Å, c = 6.1525 Å
α = 90.00°, β = 90.00°, γ = 90.00°
Space group Ibam (No. 72)
Unique sites:
Sr 0.2447 0.1264 0.0000 x8
Cu 0.0000 0.5000 0.2500 x4
Cu 0.1229 0.1298 0.5000 x8
Ge 0.0000 0.0000 0.2500 x4
Ge 0.0000 0.2563 0.2500 x8
Ge 0.1405 0.3863 0.0000 x8



# 3
This record from Alexandria describes an optimized crystal structure of SrCu2Ge2. The functional is GGA-PBE.

a = 4.2906 Å, b = 4.2906 Å, c = 10.2950 Å
α = 90.00°, β = 90.00°, γ = 90.00°
Space group I4/mmm (No. 139)
Unique sites:
Sr 0.0000 0.0000 0.0000 x2
Cu 0.0000 0.5000 0.2500 x4
Ge 0.0000 0.0000 0.3728 x4



| no. | DFT formation energy (meV/atom) | final energy (Ry per atom) |
| --- | --- | --- |
| 1 | -143 | -0.2483 |
| 2 | -343 | -0.3099 |
| 3 | -375 | -0.3085 |